Record 1
Computed, not measured: a geometry-optimized HPt structure at the GGA-PBE level of DFT.

It has space group P2_1/m (No. 11), with a = 2.786 Å, b = 4.885 Å, c = 2.983 Å, α = 90.00°, β = 99.36° and γ = 90.00°. The distinct sites, in fractional coordinates, are H at (0.078, 0.250, 0.032) and Pt at (0.252, 0.750, 0.517).

The calculated volume is 40.1 Å³ per cell. Its total magnetization is 0.00 μB/f.u. The total DFT energy (no corrections) comes out at -4.6257 eV per atom. The density of states at the Fermi level comes out at 0.245 states/eV/atom.

Record 2
Computed, not measured: a geometry-optimized HPt structure at the GGA-PBE level of DFT.

It has space group Amm2 (No. 38), with a = 2.876 Å, b = 7.242 Å, c = 6.344 Å, α = 90.00°, β = 90.00° and γ = 90.00°. The distinct sites, in fractional coordinates, are H at (0.000, 0.000, 0.000), H at (0.500, 0.240, 0.945), Pt at (0.000, 0.216, 0.111) and Pt at (0.500, 0.000, 0.395).

The calculated volume is 132.1 Å³ per cell. Its total magnetization is 0.00 μB/f.u. The total DFT energy (no corrections) comes out at -4.6022 eV per atom. The density of states at the Fermi level comes out at 0.300 states/eV/atom.

Record 3
Computed, not measured: a geometry-optimized HPt structure at the GGA-PBE level of DFT.

It has space group Pmmn (No. 59, origin choice 2), with a = 2.953 Å, b = 10.056 Å, c = 3.951 Å, α = 90.00°, β = 90.00° and γ = 90.00°. The distinct sites, in fractional coordinates, are H at (0.250, 0.093, 0.009), H at (0.250, 0.750, 0.469), Pt at (0.250, 0.250, 0.236) and Pt at (0.250, 0.580, 0.272).

The calculated volume is 117.3 Å³ per cell. Its total magnetization is 0.00 μB/f.u. The total DFT energy (no corrections) comes out at -4.5942 eV per atom. The density of states at the Fermi level comes out at 0.151 states/eV/atom.

Record 4
Computed, not measured: a geometry-optimized H4Pt structure at the GGA-PBE level of DFT.

It has space group Fdd2 (No. 43), with a = 7.564 Å, b = 7.640 Å, c = 5.886 Å, α = 90.00°, β = 90.00° and γ = 90.00°. The distinct sites, in fractional coordinates, are H at (0.090, 0.404, 0.000), H at (0.097, 0.402, 0.466) and Pt at (0.000, 0.000, 0.769).

The calculated volume is 340.1 Å³ per cell. For the offset from the most stable computed form, the calculation gives 0.0 kJ/mol of atoms. Its total magnetization is 0.00 μB/f.u. The total DFT energy (no corrections) comes out at -3.8518 eV per atom. The density of states at the Fermi level comes out at 0.000 states/eV/atom.

Record 5
Computed, not measured: a geometry-optimized HPt3 structure at the GGA-PBE level of DFT.

It has space group Pm-3m (No. 221), with a = 3.810 Å, b = 3.810 Å, c = 3.810 Å, α = 90.00°, β = 90.00° and γ = 90.00°. The distinct sites, in fractional coordinates, are H at (0.000, 0.000, 0.000) and Pt at (0.000, 0.500, 0.500).

The calculated volume is 55.3 Å³ per cell. For the offset from the most stable computed form, the calculation gives 43.7 kJ/mol of atoms. Its total magnetization is 0.00 μB/f.u. The total DFT energy (no corrections) comes out at -4.8347 eV per atom. The density of states at the Fermi level comes out at 0.855 states/eV/atom.

Record 6
Computed, not measured: a geometry-optimized HPt2 structure at the GGA-PBE level of DFT.

It has space group P-1 (No. 2), with a = 2.833 Å, b = 5.303 Å, c = 5.552 Å, α = 117.19°, β = 96.08° and γ = 101.21°. The distinct sites, in fractional coordinates, are H at (0.074, 0.035, 0.251), Pt at (0.287, 0.735, 0.243) and Pt at (0.305, 0.731, 0.742).

The calculated volume is 70.9 Å³ per cell. Its total magnetization is 0.00 μB/f.u. The total DFT energy (no corrections) comes out at -5.0731 eV per atom. The density of states at the Fermi level comes out at 0.667 states/eV/atom.

Record 7
Computed, not measured: a geometry-optimized HPt structure at the GGA-PBE level of DFT.

It has space group P2_12_12_1 (No. 19), with a = 4.664 Å, b = 5.452 Å, c = 6.241 Å, α = 90.00°, β = 90.00° and γ = 90.00°. The distinct sites, in fractional coordinates, are H at (0.084, 0.097, 0.058), H at (0.124, 0.371, 0.759), Pt at (0.243, 0.943, 0.303) and Pt at (0.250, 0.424, 0.465).

The calculated volume is 158.7 Å³ per cell. Its total magnetization is 0.00 μB/f.u. The total DFT energy (no corrections) comes out at -4.5654 eV per atom. The density of states at the Fermi level comes out at 0.256 states/eV/atom.

Record 8
Computed, not measured: a geometry-optimized H4Pt structure at the GGA-PBE level of DFT.

It has space group Im-3m (No. 229), with a = 6.625 Å, b = 6.625 Å, c = 6.625 Å, α = 90.00°, β = 90.00° and γ = 90.00°. The distinct sites, in fractional coordinates, are H at (0.000, 0.000, 0.246), H at (0.000, 0.250, 0.500) and Pt at (0.000, 0.000, 0.500).

The calculated volume is 290.7 Å³ per cell. For the offset from the most stable computed form, the calculation gives 25.1 kJ/mol of atoms. Its total magnetization is 0.00 μB/f.u. The total DFT energy (no corrections) comes out at -3.5913 eV per atom. The density of states at the Fermi level comes out at 0.285 states/eV/atom.

Record 9
Computed, not measured: a geometry-optimized HPt3 structure at the GGA-PBE level of DFT.

It has space group Pmm2 (No. 25), with a = 2.752 Å, b = 2.770 Å, c = 6.859 Å, α = 90.00°, β = 90.00° and γ = 90.00°. The distinct sites, in fractional coordinates, are H at (0.000, 0.000, 0.000), Pt at (0.000, 0.500, 0.163), Pt at (0.500, 0.000, 0.466) and Pt at (0.500, 0.500, 0.801).

The calculated volume is 52.3 Å³ per cell. For the offset from the most stable computed form, the calculation gives 2.9 kJ/mol of atoms. Its total magnetization is 0.00 μB/f.u. The total DFT energy (no corrections) comes out at -5.2574 eV per atom. The density of states at the Fermi level comes out at 0.939 states/eV/atom.

Record 10
Computed, not measured: a geometry-optimized HPt structure at the GGA-PBE level of DFT.

It has space group P4_2/mnm (No. 136), with a = 5.144 Å, b = 5.144 Å, c = 2.998 Å, α = 90.00°, β = 90.00° and γ = 90.00°. The distinct sites, in fractional coordinates, are H at (0.135, 0.135, 0.000) and Pt at (0.230, 0.770, 0.000).

The calculated volume is 79.3 Å³ per cell. Its total magnetization is 0.00 μB/f.u. The total DFT energy (no corrections) comes out at -4.5552 eV per atom. The density of states at the Fermi level comes out at 0.158 states/eV/atom.

Record 11
Computed, not measured: a geometry-optimized HPt structure at the GGA-PBE level of DFT.

It has space group Fddd (No. 70, origin choice 2), with a = 5.689 Å, b = 7.017 Å, c = 7.749 Å, α = 90.00°, β = 90.00° and γ = 90.00°. The distinct sites, in fractional coordinates, are H at (0.125, 0.125, 0.280) and Pt at (0.116, 0.375, 0.875).

The calculated volume is 309.4 Å³ per cell. Its total magnetization is 0.00 μB/f.u. The total DFT energy (no corrections) comes out at -4.5882 eV per atom. The density of states at the Fermi level comes out at 0.241 states/eV/atom.

Record 12
Computed, not measured: a geometry-optimized HPt2 structure at the GGA-PBE level of DFT.

It has space group P2_1/m (No. 11), with a = 2.836 Å, b = 4.797 Å, c = 5.302 Å, α = 90.00°, β = 101.29° and γ = 90.00°. The distinct sites, in fractional coordinates, are H at (0.176, 0.250, 0.169), Pt at (0.208, 0.750, 0.602) and Pt at (0.399, 0.250, 0.869).

The calculated volume is 70.8 Å³ per cell. Its total magnetization is 0.00 μB/f.u. The total DFT energy (no corrections) comes out at -5.0714 eV per atom. The density of states at the Fermi level comes out at 0.620 states/eV/atom.

Question: The highest total DFT energy (no corrections) belongs to which entry?
Answer: number 8

Copy entry 12 word for word.
Computed, not measured: a geometry-optimized HPt2 structure at the GGA-PBE level of DFT.

It has space group P2_1/m (No. 11), with a = 2.836 Å, b = 4.797 Å, c = 5.302 Å, α = 90.00°, β = 101.29° and γ = 90.00°. The distinct sites, in fractional coordinates, are H at (0.176, 0.250, 0.169), Pt at (0.208, 0.750, 0.602) and Pt at (0.399, 0.250, 0.869).

The calculated volume is 70.8 Å³ per cell. Its total magnetization is 0.00 μB/f.u. The total DFT energy (no corrections) comes out at -5.0714 eV per atom. The density of states at the Fermi level comes out at 0.620 states/eV/atom.

Question: Look up the total magnetization of the tenth one.
Answer: 0.00 μB/f.u.

What did the eleventh record say?
Computed, not measured: a geometry-optimized HPt structure at the GGA-PBE level of DFT.

It has space group Fddd (No. 70, origin choice 2), with a = 5.689 Å, b = 7.017 Å, c = 7.749 Å, α = 90.00°, β = 90.00° and γ = 90.00°. The distinct sites, in fractional coordinates, are H at (0.125, 0.125, 0.280) and Pt at (0.116, 0.375, 0.875).

The calculated volume is 309.4 Å³ per cell. Its total magnetization is 0.00 μB/f.u. The total DFT energy (no corrections) comes out at -4.5882 eV per atom. The density of states at the Fermi level comes out at 0.241 states/eV/atom.